The following is a DFT calculation (SCAN) of Mg2Sn2Bi at its PBEsol-relaxed geometry.

Properties
Total DFT energy (no corrections)   -32.145 eV/atom
Mass density   6.5 Mg/m³
Calculated formation energy   -71 meV per atom
V   25.32 Å³ per atom

abc: 8.8158 8.8158 3.2573
angles: 90.00 90.00 90.00
Space group P4/mbm (No. 127)
Symmetry-distinct sites (fractional):
Mg1 0.1328 0.3672 0.0000 [4 per cell]
Sn1 0.1640 0.6640 0.5000 [4 per cell]
Bi1 0.0000 0.0000 0.5000 [2 per cell]

The following is a DFT calculation (SCAN) of MgTcPt2 at its PBEsol-relaxed geometry.

Properties
Total DFT energy (no corrections)   -45.283 eV/atom
Mass density   14.0 Mg/m³
Calculated formation energy   -178 meV per atom
V   15.20 Å³ per atom

abc: 3.2292 3.2292 5.8326
angles: 90.00 90.00 90.00
Space group P4mm (No. 99)
Symmetry-distinct sites (fractional):
Mg1 0.0000 0.0000 0.0000 [1 per cell]
Tc1 0.5000 0.5000 0.7163 [1 per cell]
Pt1 0.0000 0.0000 0.5010 [1 per cell]
Pt2 0.5000 0.5000 0.2333 [1 per cell]

The following is a DFT calculation (SCAN) of CsHg3Sb at its PBEsol-relaxed geometry.

Properties
Total DFT energy (no corrections)   -55.373 eV/atom
Mass density   5.1 Mg/m³
V   55.86 Å³ per atom

abc: 6.5367 6.5367 6.5367
angles: 90.00 90.00 90.00
Space group Pm-3m (No. 221)
Symmetry-distinct sites (fractional):
Cs1 0.0000 0.0000 0.0000 [1 per cell]
Hg1 0.0000 0.0000 0.5000 [3 per cell]
Sb1 0.5000 0.5000 0.5000 [1 per cell]

The following is a DFT calculation (SCAN) of SbAuCl4 at its PBEsol-relaxed geometry.

Properties
Total DFT energy (no corrections)   -22.341 eV/atom
Mass density   6.1 Mg/m³
V   21.06 Å³ per atom

abc: 7.9659 7.9659 7.9659
angles: 90.00 90.00 90.00
Space group F-43m (No. 216)
Symmetry-distinct sites (fractional):
Sb1 0.0000 0.0000 0.0000 [4 per cell]
Au1 0.2500 0.2500 0.7500 [4 per cell]
Cl1 0.1243 0.1243 0.3757 [16 per cell]

The following is a DFT calculation (SCAN) of KSb2As at its PBEsol-relaxed geometry.

Properties
Total DFT energy (no corrections)   -25.650 eV/atom
Mass density   5.7 Mg/m³
V   25.85 Å³ per atom

abc: 4.5055 4.5055 10.1862
angles: 90.00 90.00 90.00
Space group I4/mmm (No. 139)
Symmetry-distinct sites (fractional):
K1 0.0000 0.0000 0.0000 [2 per cell]
Sb1 0.0000 0.5000 0.2500 [4 per cell]
As1 0.0000 0.0000 0.5000 [2 per cell]

The following is a DFT calculation (SCAN) of VPd3 at its PBEsol-relaxed geometry.

Properties
Total DFT energy (no corrections)   -29.243 eV/atom
Mass density   11.0 Mg/m³
Calculated formation energy   -290 meV per atom
V   14.02 Å³ per atom

abc: 5.4206 5.4206 4.4084
angles: 90.00 90.00 120.00
Space group P6_3/mmc (No. 194)
Symmetry-distinct sites (fractional):
V1 0.3333 0.6667 0.2500 [2 per cell]
Pd1 0.1692 0.3384 0.7500 [6 per cell]

The following is a DFT calculation (SCAN) of ScGaCu2Ag at its PBEsol-relaxed geometry.

Properties
Total DFT energy (no corrections)   -18.034 eV/atom
Mass density   6.0 Mg/m³
Calculated formation energy   436 meV per atom
V   19.38 Å³ per atom

abc: 4.4174 4.4174 4.9659
angles: 90.00 90.00 90.00
Space group P4/mmm (No. 123)
Symmetry-distinct sites (fractional):
Sc1 0.0000 0.0000 0.0000 [1 per cell]
Ga1 0.0000 0.0000 0.5000 [1 per cell]
Cu1 0.0000 0.5000 0.5000 [2 per cell]
Ag1 0.5000 0.5000 0.0000 [1 per cell]

The following is a DFT calculation (SCAN) of MgSe at its PBEsol-relaxed geometry.

Properties
Total DFT energy (no corrections)   -13.520 eV/atom
Mass density   3.3 Mg/m³
V   26.08 Å³ per atom

abc: 5.5465 5.5465 5.0873
angles: 90.00 90.00 90.00
Space group P4/mmm (No. 123)
Symmetry-distinct sites (fractional):
Mg1 0.0000 0.0000 0.0000 [1 per cell]
Mg2 0.0000 0.5000 0.5000 [2 per cell]
Se1 0.0000 0.0000 0.5000 [1 per cell]
Se2 0.0000 0.5000 0.0000 [2 per cell]

The following is a DFT calculation (SCAN) of Rb3Y2B3O9 at its PBEsol-relaxed geometry.

Properties
Total DFT energy (no corrections)   -14.470 eV/atom
Mass density   4.0 Mg/m³
V   14.82 Å³ per atom

abc: 8.6840 9.5492 12.1508
angles: 90.00 90.00 90.00
Space group Pna2_1 (No. 33)
Symmetry-distinct sites (fractional):
Rb1 0.0917 0.1957 0.0000 [4 per cell]
Rb2 0.1490 0.3584 0.6485 [4 per cell]
Rb3 0.2076 0.5328 0.9802 [4 per cell]
Y1 0.0122 0.0074 0.7365 [4 per cell]
Y2 0.1409 0.3872 0.3027 [4 per cell]
B1 0.0371 0.8470 0.9702 [4 per cell]
B2 0.1347 0.6763 0.3129 [4 per cell]
B3 0.1714 0.6968 0.6937 [4 per cell]
O1 0.0233 0.9053 0.0738 [4 per cell]
O2 0.0374 0.2753 0.4434 [4 per cell]
O3 0.0406 0.5879 0.3721 [4 per cell]
O4 0.0409 0.6204 0.6784 [4 per cell]
O5 0.1165 0.8204 0.3151 [4 per cell]
O6 0.1235 0.9173 0.8914 [4 per cell]
O7 0.1768 0.8392 0.6649 [4 per cell]
O8 0.1929 0.1422 0.2400 [4 per cell]
O9 0.2481 0.6108 0.2479 [4 per cell]

The following is a DFT calculation (SCAN) of ScSiN2O at its PBEsol-relaxed geometry.

Properties
Total DFT energy (no corrections)   -9.478 eV/atom
Mass density   2.9 Mg/m³
V   13.62 Å³ per atom

abc: 4.1550 4.1550 3.9437
angles: 90.00 90.00 90.00
Space group P4/mmm (No. 123)
Symmetry-distinct sites (fractional):
Sc1 0.0000 0.0000 0.0000 [1 per cell]
Si1 0.5000 0.5000 0.5000 [1 per cell]
N1 0.0000 0.5000 0.0000 [2 per cell]
O1 0.0000 0.0000 0.5000 [1 per cell]

The following is a DFT calculation (SCAN) of Rb3PdC at its PBEsol-relaxed geometry.

Properties
Total DFT energy (no corrections)   -19.916 eV/atom
Mass density   2.6 Mg/m³
Calculated formation energy   1103 meV per atom
V   48.23 Å³ per atom

abc: 6.2243 6.2243 6.2243
angles: 90.00 90.00 90.00
Space group Pm-3m (No. 221)
Symmetry-distinct sites (fractional):
Rb1 0.0000 0.0000 0.5000 [3 per cell]
Pd1 0.0000 0.0000 0.0000 [1 per cell]
C1 0.5000 0.5000 0.5000 [1 per cell]

The following is a DFT calculation (SCAN) of LaCdCl2 at its PBEsol-relaxed geometry.

Properties
Total DFT energy (no corrections)   -23.708 eV/atom
Mass density   5.3 Mg/m³
V   25.17 Å³ per atom

abc: 6.8605 9.4146 3.6371
angles: 90.00 121.02 90.00
Space group C2/m (No. 12)
Symmetry-distinct sites (fractional):
La1 0.0000 0.0000 0.0000 [2 per cell]
Cd1 0.0000 0.5000 0.0000 [2 per cell]
Cl1 0.2500 0.2500 0.0000 [4 per cell]

The following is a DFT calculation (SCAN) of Cs2NaReS at its PBEsol-relaxed geometry.

Properties
Total DFT energy (no corrections)   -31.248 eV/atom
Mass density   4.2 Mg/m³
V   40.35 Å³ per atom

abc: 6.5208 6.5208 4.7443
angles: 90.00 90.00 90.00
Space group P4/mmm (No. 123)
Symmetry-distinct sites (fractional):
Cs1 0.0000 0.5000 0.0000 [2 per cell]
Na1 0.0000 0.0000 0.0000 [1 per cell]
Re1 0.5000 0.5000 0.5000 [1 per cell]
S1 0.0000 0.0000 0.5000 [1 per cell]

The following is a DFT calculation (SCAN) of CoIr2Os at its PBEsol-relaxed geometry.

Properties
Total DFT energy (no corrections)   -57.818 eV/atom
Mass density   20.0 Mg/m³
Calculated formation energy   27 meV per atom
V   13.18 Å³ per atom

abc: 2.6844 2.6844 7.3163
angles: 90.00 90.00 90.00
Space group P4/mmm (No. 123)
Symmetry-distinct sites (fractional):
Co1 0.0000 0.0000 0.0000 [1 per cell]
Ir1 0.5000 0.5000 0.2409 [2 per cell]
Os1 0.0000 0.0000 0.5000 [1 per cell]

The following is a DFT calculation (SCAN) of CsBiSbF2 at its PBEsol-relaxed geometry.

Properties
Total DFT energy (no corrections)   -33.252 eV/atom
Mass density   6.1 Mg/m³
V   27.49 Å³ per atom

abc: 4.9206 4.9206 5.6773
angles: 90.00 90.00 90.00
Space group P4/mmm (No. 123)
Symmetry-distinct sites (fractional):
Cs1 0.0000 0.0000 0.0000 [1 per cell]
Bi1 0.5000 0.5000 0.0000 [1 per cell]
Sb1 0.5000 0.5000 0.5000 [1 per cell]
F1 0.0000 0.5000 0.5000 [2 per cell]

The following is a DFT calculation (SCAN) of CaRh2W at its PBEsol-relaxed geometry.

Properties
Total DFT energy (no corrections)   -36.678 eV/atom
Mass density   11.0 Mg/m³
Calculated formation energy   45 meV per atom
V   16.17 Å³ per atom

abc: 9.9857 2.7754 4.7796
angles: 90.00 102.37 90.00
Space group Cm (No. 8)
Symmetry-distinct sites (fractional):
Ca1 0.0000 0.0000 0.0000 [2 per cell]
Rh1 0.0209 0.5000 0.5049 [2 per cell]
Rh2 0.2416 0.0000 0.8396 [2 per cell]
W1 0.2878 0.5000 0.3736 [2 per cell]

The following is a DFT calculation (SCAN) of Nd2Ge2Ir at its PBEsol-relaxed geometry.

Properties
Total DFT energy (no corrections)   -40.289 eV/atom
Mass density   9.5 Mg/m³
Calculated formation energy   -1002 meV per atom
V   21.82 Å³ per atom

abc: 10.8140 4.3299 10.4699
angles: 90.00 117.13 90.00
Space group C2/m (No. 12)
Symmetry-distinct sites (fractional):
Nd1 0.0063 0.0000 0.3305 [4 per cell]
Nd2 0.1916 0.0000 0.1175 [4 per cell]
Ge1 0.0132 0.5000 0.8826 [4 per cell]
Ge2 0.1564 0.5000 0.5525 [4 per cell]
Ir1 0.2275 0.5000 0.3363 [4 per cell]

The following is a DFT calculation (SCAN) of Zr2InGa2 at its PBEsol-relaxed geometry.

Properties
Total DFT energy (no corrections)   -26.121 eV/atom
Mass density   7.7 Mg/m³
Calculated formation energy   -626 meV per atom
V   18.81 Å³ per atom

abc: 6.9067 6.9067 3.9442
angles: 90.00 90.00 90.00
Space group P4/mbm (No. 127)
Symmetry-distinct sites (fractional):
Zr1 0.1761 0.3239 0.0000 [4 per cell]
In1 0.0000 0.0000 0.5000 [2 per cell]
Ga1 0.1237 0.6237 0.5000 [4 per cell]

The following is a DFT calculation (SCAN) of MgAlAs at its PBEsol-relaxed geometry.

Properties
Total DFT energy (no corrections)   -11.034 eV/atom
Mass density   3.7 Mg/m³
Calculated formation energy   -62 meV per atom
V   18.76 Å³ per atom

abc: 3.4971 3.4971 9.2042
angles: 90.00 90.00 90.00
Space group I4mm (No. 107)
Symmetry-distinct sites (fractional):
Mg1 0.0000 0.0000 0.0000 [2 per cell]
Al1 0.0000 0.0000 0.3076 [2 per cell]
As1 0.0000 0.0000 0.6881 [2 per cell]

The following is a DFT calculation (SCAN) of LaYOsW2 at its PBEsol-relaxed geometry.

Properties
Total DFT energy (no corrections)   -53.435 eV/atom
Mass density   11.5 Mg/m³
Calculated formation energy   3006 meV per atom
V   22.71 Å³ per atom

abc: 4.6720 4.6720 5.2031
angles: 90.00 90.00 90.00
Space group P4/mmm (No. 123)
Symmetry-distinct sites (fractional):
La1 0.0000 0.0000 0.0000 [1 per cell]
Y1 0.0000 0.0000 0.5000 [1 per cell]
Os1 0.5000 0.5000 0.0000 [1 per cell]
W1 0.0000 0.5000 0.5000 [2 per cell]